Y5HoMg4: relaxed, PBE.

Values from the calculation:
The calculation puts the density of states at the Fermi level at 15.033 states/eV per cell. The formation energy is -75 meV/atom. For the total energy, the calculation gives -0.162 Ha/atom.

POSCAR file:
```
Y5HoMg4
1.0
-0.099 1.104 3.570
3.227 -1.776 0.638
10.251 16.860 -4.930
Ho Y Mg
1 5 4
direct
0.000 0.000 0.000
0.500 0.500 0.310
0.500 0.500 0.117
0.500 0.500 0.500
0.500 0.500 0.690
0.500 0.500 0.883
0.000 0.000 0.404
0.000 0.000 0.214
0.000 0.000 0.786
0.000 0.000 0.596
```